(1)
{
  "formula": "LaSb2H",
  "functional": "PBE-GGA",
  "state": "relaxed",
  "sg": "Fm-3m (225)",
  "de_polymorph_mev_per_atom": 435,
  "energy_ev_per_fu": -15.84,
  "lattice_angstrom": [[0.000, 3.748, 3.748], [3.748, 0.000, 3.748], [3.748, 3.748, 0.000]],
  "species": ["La", "Sb", "Sb", "H"],
  "frac_coords": [[0.000, 0.000, 0.000], [0.250, 0.250, 0.250], [0.750, 0.750, 0.750], [0.500, 0.500, 0.500]]
}


(2)
{
  "formula": "LiPrGaPt3",
  "functional": "PBE-GGA",
  "state": "relaxed",
  "sg": "Cmcm (63)",
  "delta_e_f_mev_per_atom": -689,
  "energy_ev_per_fu": -31.98,
  "lattice_angstrom": [[2.885, -6.478, 0.000], [2.885, 6.478, 0.000], [0.000, 0.000, 5.826]],
  "species": ["Li", "Li", "Pr", "Pr", "Ga", "Ga", "Pt", "Pt", "Pt", "Pt", "Pt", "Pt"],
  "frac_coords": [[0.114, 0.886, 0.750], [0.886, 0.114, 0.250], [0.326, 0.674, 0.750], [0.674, 0.326, 0.250], [0.382, 0.618, 0.250], [0.618, 0.382, 0.750], [0.187, 0.813, 0.250], [0.239, 0.239, 0.000], [0.239, 0.239, 0.500], [0.761, 0.761, 0.000], [0.761, 0.761, 0.500], [0.813, 0.187, 0.750]]
}


(3)
{
  "formula": "LaYCo3",
  "functional": "PBE-GGA",
  "state": "relaxed",
  "sg": "Pm-3m (221)",
  "delta_e_f_mev_per_atom": 893,
  "de_polymorph_mev_per_atom": 1020,
  "energy_ev_per_fu": -28.24,
  "lattice_angstrom": [[4.823, 0.000, 0.000], [0.000, 4.823, 0.000], [0.000, 0.000, 4.823]],
  "species": ["La", "Y", "Co", "Co", "Co"],
  "frac_coords": [[0.000, 0.000, 0.000], [0.500, 0.500, 0.500], [0.000, 0.500, 0.500], [0.500, 0.000, 0.500], [0.500, 0.500, 0.000]]
}


(4)
{
  "formula": "Nd6P2Se3O",
  "functional": "PBE-GGA",
  "state": "relaxed",
  "formation_energy_uncorrected_ev_per_fu": -22.6,
  "sg": "C2/m (12)",
  "energy_ev_per_fu": -77.42,
  "lattice_angstrom": [[9.045, -2.040, 0.000], [9.045, 2.040, 0.000], [-2.215, 0.000, 8.017]],
  "species": ["Nd", "Nd", "Nd", "Nd", "Nd", "Nd", "P", "P", "Se", "Se", "Se", "O"],
  "frac_coords": [[0.002, 0.002, 0.218], [0.330, 0.330, 0.427], [0.352, 0.352, 0.916], [0.648, 0.648, 0.084], [0.670, 0.670, 0.573], [0.998, 0.998, 0.782], [0.164, 0.164, 0.330], [0.836, 0.836, 0.670], [0.171, 0.171, 0.838], [0.500, 0.500, 0.500], [0.829, 0.829, 0.162], [0.500, 0.500, 0.000]]
}


(5)
{
  "formula": "ReTcGe4",
  "functional": "PBE-GGA",
  "state": "relaxed",
  "sg": "Cmmm (65)",
  "delta_e_f_mev_per_atom": 168,
  "energy_ev_per_fu": -40.28,
  "lattice_angstrom": [[4.501, -4.503, 0.000], [4.501, 4.503, 0.000], [0.000, 0.000, 3.003]],
  "species": ["Re", "Tc", "Ge", "Ge", "Ge", "Ge"],
  "frac_coords": [[0.000, 0.000, 0.000], [0.500, 0.500, 0.500], [0.222, 0.778, 0.500], [0.281, 0.281, 0.000], [0.719, 0.719, 0.000], [0.778, 0.222, 0.500]]
}


(6)
{
  "formula": "Ac2NdDy3",
  "functional": "PBE-GGA",
  "state": "relaxed",
  "sg": "C2/c (15)",
  "delta_e_f_mev_per_atom": 140,
  "energy_ev_per_fu": -25.95,
  "lattice_angstrom": [[8.209, -3.766, 0.000], [8.209, 3.766, 0.000], [-1.703, 0.000, 7.281]],
  "species": ["Ac", "Ac", "Ac", "Ac", "Nd", "Nd", "Dy", "Dy", "Dy", "Dy", "Dy", "Dy"],
  "frac_coords": [[0.179, 0.187, 0.092], [0.187, 0.179, 0.592], [0.813, 0.821, 0.408], [0.821, 0.813, 0.908], [0.212, 0.788, 0.250], [0.788, 0.212, 0.750], [0.214, 0.786, 0.750], [0.381, 0.385, 0.441], [0.385, 0.381, 0.941], [0.615, 0.619, 0.059], [0.619, 0.615, 0.559], [0.786, 0.214, 0.250]]
}


(7)
{
  "formula": "PmBrN",
  "functional": "PBE-GGA",
  "state": "relaxed",
  "formation_energy_uncorrected_ev_per_fu": -4.2,
  "sg": "C2/m (12)",
  "energy_ev_per_fu": -18.96,
  "lattice_angstrom": [[3.345, -2.040, 0.000], [3.345, 2.040, 0.000], [-3.160, 0.000, 10.936]],
  "species": ["Pm", "Pm", "Br", "Br", "N", "N"],
  "frac_coords": [[0.169, 0.169, 0.363], [0.831, 0.831, 0.637], [0.261, 0.261, 0.817], [0.739, 0.739, 0.183], [0.454, 0.454, 0.555], [0.546, 0.546, 0.445]]
}


(8)
{
  "formula": "Pr3Nd5N8",
  "functional": "PBE-GGA",
  "state": "relaxed",
  "formation_energy_uncorrected_ev_per_fu": -21.3,
  "sg": "R-3m (166)",
  "energy_ev_per_fu": -126.07,
  "lattice_angstrom": [[3.668, 2.118, 5.990], [-3.668, 2.118, 5.990], [0.000, -4.235, 5.990]],
  "species": ["Pr", "Pr", "Pr", "Nd", "Nd", "Nd", "Nd", "Nd", "N", "N", "N", "N", "N", "N", "N", "N"],
  "frac_coords": [[0.000, 0.500, 0.500], [0.500, 0.000, 0.500], [0.500, 0.500, 0.000], [0.000, 0.000, 0.000], [0.000, 0.000, 0.500], [0.000, 0.500, 0.000], [0.500, 0.000, 0.000], [0.500, 0.500, 0.500], [0.248, 0.750, 0.750], [0.249, 0.249, 0.249], [0.250, 0.250, 0.752], [0.250, 0.752, 0.250], [0.750, 0.248, 0.750], [0.750, 0.750, 0.248], [0.751, 0.751, 0.751], [0.752, 0.250, 0.250]]
}


Which formula does entry 6 have?
Ac2NdDy3